# 1
DFT (GGA-PBE) results for TbPrGe4 after structural relaxation.

Geometry as POSCAR:
```
TbPrGe4
1.0
-4.589 -1.099 -3.206
0.617 -1.237 -5.534
-0.975 -5.303 -1.863
Pr Ge Tb
1 4 1
Direct
0.000 0.000 0.000
0.623 0.623 0.130
0.623 0.130 0.623
0.623 0.623 0.623
0.130 0.623 0.623
0.250 0.250 0.250
```

Output
DFT formation energy: -347 meV/atom
electronic total energy: -30.0 eV/f.u.
space-group type: F-43m, No. 216


# 2
DFT (GGA-PBE) results for TcTe2PdN after structural relaxation.

Geometry as POSCAR:
```
TcTe2PdN
1.0
-5.267 -1.070 -0.976
1.083 -0.464 -5.334
0.645 -3.581 0.442
Te Tc Pd N
2 1 1 1
Direct
0.000 0.500 0.000
0.500 0.000 0.000
0.500 0.500 0.500
0.000 0.000 0.000
0.000 0.000 0.500
```

Output
electronic total energy: -24.6 eV/f.u.
formation energy from raw total energies: 1105 meV per atom
space-group type: P4/mmm, No. 123